Entry 1:
## Tb4Ho2Sn3O2 (PBE-GGA)

Data for crystalline Tb4Ho2Sn3O2 at its relaxed geometry.

space group = No. 139
raw formation energy = -1.508 eV per atom

Structure (POSCAR):
```
Tb4Ho2Sn3O2
1.0
-2.3335 2.3335 12.4706
2.3335 -2.3335 12.4706
2.3335 2.3335 -12.4706
Tb Ho Sn O
4 2 3 2
direct
0.0837 0.5837 0.5000 Tb
0.4163 0.9163 0.5000 Tb
0.5837 0.0837 0.5000 Tb
0.9163 0.4163 0.5000 Tb
0.1934 0.1934 0.0000 Ho
0.8066 0.8066 0.0000 Ho
0.3207 0.3207 0.0000 Sn
0.5000 0.5000 0.0000 Sn
0.6793 0.6793 0.0000 Sn
0.1005 0.1005 0.0000 O
0.8995 0.8995 0.0000 O
```

***

Entry 2:
## Hf2CoSiW (PBE-GGA)

Data for crystalline Hf2CoSiW at its relaxed geometry.

space group = No. 123
raw formation energy = 1.226 eV per atom

Structure (POSCAR):
```
Hf2CoSiW
1.0
4.9974 0.0000 0.0000
0.0000 4.9974 0.0000
0.0000 0.0000 4.6203
Hf Co Si W
2 1 1 1
direct
0.0000 0.5000 0.0000 Hf
0.5000 0.0000 0.0000 Hf
0.0000 0.0000 0.5000 Co
0.5000 0.5000 0.5000 Si
0.5000 0.5000 0.0000 W
```

***

Entry 3:
## PrDyLuTl (PBE-GGA)

Data for crystalline PrDyLuTl at its relaxed geometry.

ΔE_f = -0.057 eV/atom
space group = No. 216

Structure (POSCAR):
```
PrDyLuTl
1.0
0.0000 3.8990 3.8990
3.8990 0.0000 3.8990
3.8990 3.8990 0.0000
Pr Dy Lu Tl
1 1 1 1
direct
0.0000 0.0000 0.0000 Pr
0.5000 0.5000 0.5000 Dy
0.7500 0.7500 0.7500 Lu
0.2500 0.2500 0.2500 Tl
```

***

Entry 4:
## Er2Ga3Ni4Sn (PBE-GGA)

Data for crystalline Er2Ga3Ni4Sn at its relaxed geometry.

ΔE_f = -0.535 eV/atom
space group = No. 115

Structure (POSCAR):
```
Er2Ga3Ni4Sn
1.0
4.0735 0.0000 0.0000
0.0000 4.0735 0.0000
0.0000 0.0000 10.2018
Er Ga Ni Sn
2 3 4 1
direct
0.0000 0.5000 0.2400 Er
0.5000 0.0000 0.7600 Er
0.0000 0.5000 0.8769 Ga
0.5000 0.0000 0.1231 Ga
0.5000 0.5000 0.5000 Ga
0.0000 0.0000 0.0000 Ni
0.0000 0.5000 0.6482 Ni
0.5000 0.0000 0.3518 Ni
0.5000 0.5000 0.0000 Ni
0.0000 0.0000 0.5000 Sn
```

***

Number 4 is which compound? Er2Ga3Ni4Sn